1.
## TmLuAu (PBE)

Data for an optimized crystal structure of TmLuAu.

DOS(E_F) in states/eV/atom: 0.6577
Spin magnetization in Bohr magnetons per cell: 0.00
Space-group type: P3m1
Energy relative to the lowest polymorph listed for this composition in eV/atom: 0.0472

a b c (Å): 3.711 4.845 4.845
angles (deg): 120.00 90.00 90.00
Sites, in units of the cell vectors:
Tm 0.599 0.667 0.333
Lu 0.077 0.000 0.000
Au 0.324 0.333 0.667



2.
## YLuAu2 (PBE)

Data for an optimized crystal structure of YLuAu2.

DOS(E_F) in states/eV/atom: 0.4989
Spin magnetization in Bohr magnetons per cell: 0.00
Space-group type: P4/mmm
Energy relative to the lowest polymorph listed for this composition in eV/atom: 0.0000

a b c (Å): 3.541 3.541 7.230
angles (deg): 90.00 90.00 90.00
Sites, in units of the cell vectors:
Y 0.500 0.500 0.500
Lu 0.500 0.500 0.000
Au 0.000 0.000 0.764
Au 0.000 0.000 0.236